This record from Alexandria describes crystalline LiAlTe2 at its relaxed geometry. The functional is PBE.

Computed properties:
Uncorrected formation energy ... -20.4 kJ/mol of atoms
Energy ... -3.196 eV per atom

Geometry as CIF:
```
data_LiAlTe2
_chemical_formula_sum 'Li2 Al2 Te4'
_cell_length_a 6.5171
_cell_length_b 7.8024
_cell_length_c 3.7893
_cell_angle_alpha 90.00
_cell_angle_beta 90.00
_cell_angle_gamma 90.00
_symmetry_space_group_name_H-M 'C m m m'
_symmetry_Int_Tables_number 65
_symmetry_space_group_name_Hall '-C 2 2'
loop_
_atom_site_label
_atom_site_fract_x
_atom_site_fract_y
_atom_site_fract_z
Li1 0.0000 0.0000 0.0000
Al1 0.0000 0.5000 0.0000
Te1 0.2500 0.2500 0.5000
```

This record from Alexandria describes crystalline Li3AlTe at its relaxed geometry. The functional is PBE.

Computed properties:
Uncorrected formation energy ... -11.0 kJ/mol of atoms
Energy ... -2.639 eV per atom

Geometry as CIF:
```
data_Li3AlTe
_chemical_formula_sum 'Li3 Al1 Te1'
_cell_length_a 5.1493
_cell_length_b 5.1493
_cell_length_c 5.1493
_cell_angle_alpha 90.00
_cell_angle_beta 90.00
_cell_angle_gamma 90.00
_symmetry_space_group_name_H-M 'P m -3 m'
_symmetry_Int_Tables_number 221
_symmetry_space_group_name_Hall '-P 4 2 3'
loop_
_atom_site_label
_atom_site_fract_x
_atom_site_fract_y
_atom_site_fract_z
Li1 0.0000 0.0000 0.5000
Al1 0.5000 0.5000 0.5000
Te1 0.0000 0.0000 0.0000
```

This record from Alexandria describes crystalline Li3Al5Te12 at its relaxed geometry. The functional is PBE.

Computed properties:
Uncorrected formation energy ... -29.0 kJ/mol of atoms
Energy ... -3.408 eV per atom

Geometry as CIF:
```
data_Li3Al5Te12
_chemical_formula_sum 'Li24 Al40 Te96'
_cell_length_a 16.8290
_cell_length_b 16.8290
_cell_length_c 16.8290
_cell_angle_alpha 90.00
_cell_angle_beta 90.00
_cell_angle_gamma 90.00
_symmetry_space_group_name_H-M 'I a -3 d'
_symmetry_Int_Tables_number 230
_symmetry_space_group_name_Hall '-I 4bd 2c 3'
loop_
_atom_site_label
_atom_site_fract_x
_atom_site_fract_y
_atom_site_fract_z
Li1 0.0000 0.2500 0.1250
Al1 0.0000 0.0000 0.0000
Al2 0.0000 0.2500 0.3750
Te1 0.0346 0.0736 0.6442
```